Run a
# Hf2ZrAl2

An optimized crystal structure of Hf2ZrAl2 (PBE, Alexandria via LeMat-Bulk).

a = 5.856 Å, b = 5.856 Å, c = 10.359 Å
α = 98.11°, β = 98.11°, γ = 138.76°
Fractional coordinates of all 10 atoms:
Al1 0.421 0.079 0.250
Al2 0.766 0.734 0.250
Al3 0.579 0.921 0.750
Al4 0.234 0.266 0.750
Zr1 0.102 0.398 0.250
Zr2 0.898 0.602 0.750
Hf1 0.652 0.355 0.003
Hf2 0.145 0.848 0.497
Hf3 0.348 0.645 0.997
Hf4 0.855 0.152 0.503

=====

Run b
# Hf2ZrAl2

An optimized crystal structure of Hf2ZrAl2 (PBE, Alexandria via LeMat-Bulk).

a = 8.279 Å, b = 8.279 Å, c = 2.967 Å
α = 90.00°, β = 90.00°, γ = 90.00°
Fractional coordinates of all 10 atoms:
Al1 0.173 0.673 0.500
Al2 0.327 0.173 0.500
Al3 0.673 0.827 0.500
Al4 0.827 0.327 0.500
Hf1 0.375 0.875 0.000
Hf2 0.875 0.625 0.000
Hf3 0.125 0.375 0.000
Hf4 0.625 0.125 0.000
Zr1 0.500 0.500 0.000
Zr2 0.000 0.000 0.000

=====

Need the numbers? Relative energies in meV/atom: run a 81; run b 0.

=====

Run a
# Hf2ZrAl2

An optimized crystal structure of Hf2ZrAl2 (PBE, Alexandria via LeMat-Bulk).

a = 3.039 Å, b = 3.017 Å, c = 11.068 Å
α = 82.17°, β = 90.00°, γ = 90.00°
Fractional coordinates of all 5 atoms:
Zr1 0.000 0.000 0.000
Al1 0.500 0.596 0.809
Al2 0.500 0.404 0.191
Hf1 0.000 0.813 0.374
Hf2 0.000 0.187 0.626

=====

Run b
# Hf2ZrAl2

An optimized crystal structure of Hf2ZrAl2 (PBE, Alexandria via LeMat-Bulk).

a = 7.687 Å, b = 7.687 Å, c = 3.393 Å
α = 90.00°, β = 90.00°, γ = 90.00°
Fractional coordinates of all 10 atoms:
Al1 0.380 0.880 0.000
Al2 0.880 0.620 0.000
Al3 0.120 0.380 0.000
Al4 0.620 0.120 0.000
Zr1 0.000 0.000 0.000
Zr2 0.500 0.500 0.000
Hf1 0.178 0.678 0.500
Hf2 0.822 0.322 0.500
Hf3 0.678 0.822 0.500
Hf4 0.322 0.178 0.500

=====

Run c
# Hf2ZrAl2

An optimized crystal structure of Hf2ZrAl2 (PBE, Alexandria via LeMat-Bulk).

a = 4.005 Å, b = 4.005 Å, c = 7.048 Å
α = 73.49°, β = 73.49°, γ = 90.00°
Fractional coordinates of all 5 atoms:
Al1 0.594 0.594 0.812
Al2 0.406 0.406 0.188
Zr1 0.000 0.000 0.000
Hf1 0.750 0.250 0.500
Hf2 0.250 0.750 0.500

=====

Need the numbers? Relative energies in meV/atom: run a 114; run b 0; run c 214.

=====

Run a
# HfZrAl2

An optimized crystal structure of HfZrAl2 (PBE, Alexandria via LeMat-Bulk).

a = 7.573 Å, b = 7.573 Å, c = 6.081 Å
α = 51.49°, β = 51.49°, γ = 90.00°
Fractional coordinates of all 8 atoms:
Hf1 0.750 0.250 0.500
Hf2 0.000 0.000 0.000
Zr1 0.500 0.500 0.000
Zr2 0.250 0.750 0.500
Al1 0.875 0.876 0.750
Al2 0.124 0.625 0.250
Al3 0.375 0.374 0.750
Al4 0.626 0.125 0.250

=====

Run b
# HfZrAl2

An optimized crystal structure of HfZrAl2 (PBE, Alexandria via LeMat-Bulk).

a = 4.168 Å, b = 4.278 Å, c = 4.278 Å
α = 90.00°, β = 90.00°, γ = 90.00°
Fractional coordinates of all 4 atoms:
Al1 0.000 0.000 0.500
Al2 0.000 0.500 0.000
Zr1 0.500 0.500 0.500
Hf1 0.500 0.000 0.000

=====

Need the numbers? Relative energies in meV/atom: run a 456; run b 0.

=====

Run a
# Hf4ZrAl2

An optimized crystal structure of Hf4ZrAl2 (PBE, Alexandria via LeMat-Bulk).

a = 7.431 Å, b = 5.889 Å, c = 7.657 Å
α = 90.00°, β = 119.27°, γ = 90.00°
Fractional coordinates of all 14 atoms:
Hf1 0.421 0.999 0.770
Hf2 0.421 0.501 0.770
Hf3 0.868 0.250 0.084
Hf4 0.027 0.250 0.516
Hf5 0.973 0.750 0.484
Hf6 0.579 0.499 0.230
Hf7 0.132 0.750 0.916
Hf8 0.579 0.001 0.230
Zr1 0.253 0.750 0.337
Zr2 0.747 0.250 0.663
Al1 0.682 0.750 0.625
Al2 0.195 0.250 0.957
Al3 0.318 0.250 0.375
Al4 0.805 0.750 0.043

=====

Run b
# Hf4ZrAl2

An optimized crystal structure of Hf4ZrAl2 (PBE, Alexandria via LeMat-Bulk).

a = 2.967 Å, b = 7.100 Å, c = 7.100 Å
α = 90.00°, β = 90.00°, γ = 90.00°
Fractional coordinates of all 7 atoms:
Al1 0.500 0.500 0.000
Al2 0.500 0.000 0.500
Hf1 0.000 0.710 0.710
Hf2 0.000 0.290 0.290
Hf3 0.000 0.710 0.290
Hf4 0.000 0.290 0.710
Zr1 0.000 0.000 0.000

=====

Need the numbers? Relative energies in meV/atom: run a 0; run b 243.

=====

Run a
# Hf5ZrAl3

An optimized crystal structure of Hf5ZrAl3 (PBE, Alexandria via LeMat-Bulk).

a = 6.708 Å, b = 6.708 Å, c = 9.975 Å
α = 81.48°, β = 81.48°, γ = 73.58°
Site moments in Bohr magnetons follow the coordinates.
Fractional coordinates of all 18 atoms:
Hf1 0.684 0.316 0.000  0.02
Hf2 0.433 0.433 0.655  0.17
Hf3 0.316 0.684 0.000  0.02
Hf4 0.040 0.688 0.776  0.01
Hf5 0.272 0.272 0.949  -0.01
Hf6 0.688 0.040 0.776  0.01
Hf7 0.312 0.960 0.224  0.01
Hf8 0.960 0.312 0.224  0.01
Hf9 0.567 0.567 0.345  0.17
Hf10 0.728 0.728 0.051  -0.01
Al1 0.269 0.269 0.457  0.00
Al2 0.000 0.000 0.500  0.00
Al3 0.367 0.367 0.209  0.00
Al4 0.000 0.000 0.000  0.00
Al5 0.731 0.731 0.543  0.00
Al6 0.633 0.633 0.791  0.00
Zr1 0.866 0.866 0.272  0.04
Zr2 0.134 0.134 0.728  0.04

=====

Run b
# Hf5ZrAl3

An optimized crystal structure of Hf5ZrAl3 (PBE, Alexandria via LeMat-Bulk).

a = 5.907 Å, b = 8.398 Å, c = 8.398 Å
α = 120.00°, β = 90.00°, γ = 90.00°
Fractional coordinates of all 18 atoms:
Hf1 0.250 0.000 0.666
Hf2 0.750 0.000 0.334
Hf3 0.750 0.666 0.666
Hf4 0.500 0.333 0.667
Hf5 0.750 0.334 0.000
Hf6 0.250 0.334 0.334
Hf7 0.000 0.333 0.667
Hf8 0.000 0.667 0.333
Hf9 0.250 0.666 0.000
Hf10 0.500 0.667 0.333
Al1 0.250 0.000 0.334
Al2 0.750 0.334 0.334
Al3 0.750 0.000 0.666
Al4 0.750 0.666 0.000
Al5 0.250 0.666 0.666
Al6 0.250 0.334 0.000
Zr1 0.500 0.000 0.000
Zr2 0.000 0.000 0.000

=====

Need the numbers? Relative energies in meV/atom: run a 620; run b 0.

=====

Run a
# HfZr2Al2

An optimized crystal structure of HfZr2Al2 (PBE, Alexandria via LeMat-Bulk).

a = 7.621 Å, b = 7.621 Å, c = 3.502 Å
α = 90.00°, β = 90.00°, γ = 90.00°
Fractional coordinates of all 10 atoms:
Al1 0.621 0.121 0.000
Al2 0.379 0.879 0.000
Al3 0.879 0.621 0.000
Al4 0.121 0.379 0.000
Zr1 0.323 0.177 0.500
Zr2 0.677 0.823 0.500
Zr3 0.177 0.677 0.500
Zr4 0.823 0.323 0.500
Hf1 0.000 0.000 0.000
Hf2 0.500 0.500 0.000

=====

Run b
# HfZr2Al2

An optimized crystal structure of HfZr2Al2 (PBE, Alexandria via LeMat-Bulk).

a = 3.993 Å, b = 3.993 Å, c = 7.096 Å
α = 73.66°, β = 73.66°, γ = 90.00°
Fractional coordinates of all 5 atoms:
Zr1 0.750 0.250 0.500
Zr2 0.250 0.750 0.500
Al1 0.407 0.407 0.185
Al2 0.593 0.593 0.815
Hf1 0.000 0.000 0.000

=====

Need the numbers? Relative energies in meV/atom: run a 0; run b 271.